1.
A geometry-optimized Sc5Ga2H structure. Source: Alexandria, functional PBE.

a = 6.287 Å, b = 6.287 Å, c = 5.996 Å
α = 121.62°, β = 121.62°, γ = 90.01°
Each line ends with the local moment (μB).
Positions (direct):
1 Sc 0.749 0.255 0.004  0.12
2 Sc 0.255 0.254 0.003  0.11
3 Ga 0.253 0.753 0.506  0.00
4 Sc 0.254 0.749 0.003  0.11
5 Ga 0.753 0.253 0.506  0.00
6 H 0.009 0.009 0.018  0.00
7 Sc 0.748 0.748 0.003  0.11
8 Sc 0.756 0.756 0.512  0.16

Results
DFT total energy: -43.22 eV/f.u.

2.
A geometry-optimized Sc2GaH structure. Source: Alexandria, functional PBE.

a = 4.096 Å, b = 4.096 Å, c = 7.680 Å
α = 90.01°, β = 90.01°, γ = 90.00°
Positions (direct):
1 H 0.750 0.750 0.584
2 H 0.250 0.250 0.416
3 Sc 0.250 0.250 0.148
4 Ga 0.250 0.250 0.778
5 Sc 0.750 0.250 0.500
6 Sc 0.250 0.750 0.500
7 Sc 0.750 0.750 0.852
8 Ga 0.750 0.750 0.222

Results
Energy relative to the lowest polymorph listed for this composition: 0.00 eV per formula unit

3.
A geometry-optimized Sc3GaH structure. Source: Alexandria, functional PBE.

a = 3.260 Å, b = 6.974 Å, c = 7.931 Å
α = 90.54°, β = 90.00°, γ = 90.00°
Positions (direct):
1 H 0.250 0.876 0.402
2 Ga 0.250 0.387 0.230
3 Sc 0.250 0.756 0.045
4 Sc 0.750 0.652 0.392
5 H 0.750 0.124 0.598
6 Sc 0.750 0.068 0.335
7 Ga 0.750 0.613 0.770
8 Sc 0.250 0.348 0.608
9 Sc 0.750 0.244 0.955
10 Sc 0.250 0.932 0.665

Results
DFT total energy: -27.20 eV/f.u.

4.
A geometry-optimized Sc2GaH structure. Source: Alexandria, functional PBE.

a = 6.264 Å, b = 6.264 Å, c = 5.568 Å
α = 55.77°, β = 55.77°, γ = 90.00°
Positions (direct):
1 Sc 0.220 0.625 0.250
2 Ga 0.750 0.250 0.500
3 Sc 0.530 0.125 0.250
4 H 0.250 0.750 0.500
5 Ga 0.000 0.000 0.000
6 H 0.500 0.500 0.000
7 Sc 0.875 0.780 0.750
8 Sc 0.375 0.470 0.750

Results
Energy relative to the lowest polymorph listed for this composition: 0.45 eV per formula unit

5.
A geometry-optimized Sc3Ga2H structure. Source: Alexandria, functional PBE.

a = 5.669 Å, b = 6.095 Å, c = 6.804 Å
α = 98.31°, β = 114.62°, γ = 90.00°
Positions (direct):
1 Sc 0.582 0.750 0.000
2 Ga 0.223 0.456 0.643
3 Ga 0.777 0.544 0.357
4 Sc 0.031 0.119 0.265
5 Sc 0.234 0.619 0.265
6 Sc 0.766 0.381 0.735
7 Ga 0.579 0.044 0.357
8 Ga 0.421 0.956 0.643
9 H 0.941 0.750 0.000
10 Sc 0.418 0.250 0.000
11 Sc 0.969 0.881 0.735
12 H 0.059 0.250 0.000

Results
DFT total energy: -31.14 eV/f.u.

6.
A geometry-optimized Sc2GaH structure. Source: Alexandria, functional PBE.

a = 4.582 Å, b = 4.582 Å, c = 4.582 Å
α = 60.00°, β = 60.00°, γ = 60.00°
Positions (direct):
1 Sc 0.250 0.250 0.250
2 Sc 0.750 0.750 0.750
3 Ga 0.500 0.500 0.500
4 H 0.000 0.000 0.000

Results
Energy relative to the lowest polymorph listed for this composition: 1.46 eV per formula unit

7.
A geometry-optimized ScGaH structure. Source: Alexandria, functional PBE.

a = 2.890 Å, b = 2.890 Å, c = 5.642 Å
α = 104.84°, β = 104.84°, γ = 90.00°
Each line ends with the local moment (μB).
Positions (direct):
1 Ga 0.004 0.004 0.009  0.00
2 Sc 0.726 0.726 0.452  0.35
3 H 0.270 0.270 0.539  -0.01

Results
Energy relative to the lowest polymorph listed for this composition: 1.09 eV per formula unit

8.
A geometry-optimized ScGa2H structure. Source: Alexandria, functional PBE.

a = 5.832 Å, b = 5.832 Å, c = 5.616 Å
α = 58.72°, β = 58.72°, γ = 90.00°
Positions (direct):
1 Ga 0.486 0.125 0.250
2 Ga 0.875 0.736 0.750
3 Sc 0.000 0.000 0.000
4 Sc 0.750 0.250 0.500
5 H 0.250 0.750 0.500
6 Ga 0.264 0.625 0.250
7 H 0.500 0.500 0.000
8 Ga 0.375 0.514 0.750

Results
Energy relative to the lowest polymorph listed for this composition: 0.00 eV per formula unit

9.
A geometry-optimized Sc2GaH4 structure. Source: Alexandria, functional PBE.

a = 3.649 Å, b = 3.649 Å, c = 6.016 Å
α = 72.34°, β = 72.34°, γ = 90.00°
Positions (direct):
1 Ga 0.000 0.000 0.000
2 Sc 0.647 0.647 0.705
3 Sc 0.353 0.353 0.295
4 H 0.169 0.169 0.663
5 H 0.000 0.500 0.000
6 H 0.500 0.000 0.000
7 H 0.831 0.831 0.337

Results
DFT total energy: -28.72 eV/f.u.

10.
A geometry-optimized Sc2GaH structure. Source: Alexandria, functional PBE.

a = 3.347 Å, b = 5.957 Å, c = 7.476 Å
α = 113.48°, β = 102.93°, γ = 90.00°
Positions (direct):
1 H 0.226 0.175 0.026
2 Ga 0.691 0.641 0.958
3 H 0.435 0.385 0.445
4 Sc 0.024 0.473 0.622
5 Sc 0.330 0.033 0.235
6 Ga 0.969 0.918 0.513
7 Sc 0.330 0.526 0.235
8 Sc 0.637 0.086 0.848

Results
Energy relative to the lowest polymorph listed for this composition: 0.00 eV per formula unit

11.
A geometry-optimized ScGa2H structure. Source: Alexandria, functional PBE.

a = 4.534 Å, b = 4.534 Å, c = 4.534 Å
α = 60.00°, β = 60.00°, γ = 60.00°
Positions (direct):
1 Sc 0.500 0.500 0.500
2 H 0.000 0.000 0.000
3 Ga 0.250 0.250 0.250
4 Ga 0.750 0.750 0.750

Results
Energy relative to the lowest polymorph listed for this composition: 0.96 eV per formula unit

12.
A geometry-optimized ScGaH structure. Source: Alexandria, functional PBE.

a = 3.569 Å, b = 3.974 Å, c = 5.888 Å
α = 90.00°, β = 107.54°, γ = 90.00°
Positions (direct):
1 Sc 0.393 0.493 0.704
2 Ga 0.794 0.993 0.507
3 H 0.475 0.993 0.864
4 Ga 0.667 0.493 0.251
5 H 0.987 0.493 0.893
6 Sc 0.069 0.993 0.054

Results
Energy relative to the lowest polymorph listed for this composition: 0.00 eV per formula unit

Listing M_tot for the structures above in their given order: 0.8, 0.0, 0.0, 0.0, 0.0, 0.0, 0.4, 0.0, 0.0, 0.0, 0.0, 0.0 μB/cell.
Listing D(E_F) for the structures above in their given order: 8.54, 4.20, 9.05, 5.18, 7.03, 1.24, 1.75, 3.70, 3.36, 5.40, 0.36, 2.04 states/eV/cell.